Entry 1:
VASP calculation (PBE) on an optimized crystal structure of Lu2ZrO.

Cell and atoms, written as extended XYZ:
```
4
Lattice="3.099 0.000 0.000 0.000 3.099 0.000 0.000 0.000 8.019" Properties=species:S:1:pos:R:3 pbc="T T T"
Lu 0.000 0.000 1.531
Lu 0.000 0.000 6.488
Zr 1.549 1.549 4.009
O 1.549 1.549 0.000
```

Output
* SG: P4/mmm (123)
* magnetization: 0.00 μB per cell
* uncorrected energy: -26.25 eV for the cell shown
* DOS(E_F): 0.66 states/eV/atom

***

Entry 2:
VASP calculation (PBE) on an optimized crystal structure of BP3S.

Cell and atoms, written as extended XYZ:
```
5
Lattice="4.483 0.000 0.000 0.000 4.483 0.000 0.000 0.000 4.483" Properties=species:S:1:pos:R:3 pbc="T T T"
B 0.000 0.000 0.000
P 0.000 2.241 2.241
P 2.241 0.000 2.241
P 2.241 2.241 0.000
S 2.241 2.241 2.241
```

Output
* SG: Pm-3m (221)
* magnetization: 0.00 μB per cell
* offset from the most stable computed form: 3.95 eV/f.u.
* uncorrected energy: -18.03 eV for the cell shown
* DOS(E_F): 1.00 states/eV/atom

***

Entry 3:
VASP calculation (PBE) on an optimized crystal structure of FeNi2Pd2Pt5.

Cell and atoms, written as extended XYZ:
```
20
Lattice="8.808 0.000 0.000 0.000 8.808 0.000 0.000 0.000 3.911" Properties=species:S:1:pos:R:3 pbc="T T T"
Fe 0.000 0.000 0.000
Fe 4.404 4.404 0.000
Ni 1.090 3.315 0.000
Ni 3.315 7.719 0.000
Ni 5.494 1.090 0.000
Ni 7.719 5.494 0.000
Pd 1.524 5.928 0.000
Pd 2.880 1.524 0.000
Pd 5.928 7.285 0.000
Pd 7.285 2.880 0.000
Pt 0.000 4.404 1.955
Pt 0.679 1.750 1.955
Pt 1.750 8.129 1.955
Pt 2.654 3.725 1.955
Pt 3.725 6.154 1.955
Pt 4.404 0.000 1.955
Pt 5.084 2.654 1.955
Pt 6.154 5.084 1.955
Pt 7.059 0.679 1.955
Pt 8.129 7.059 1.955
```

Output
* SG: P4/mbm (127)
* magnetization: 3.04 μB per cell
* uncorrected energy: -120.15 eV for the cell shown
* DOS(E_F): 1.56 states/eV/atom

***

- The highest DOS(E_F) belongs to which entry?
  FeNi2Pd2Pt5

***

- Number 2 is which compound?
  BP3S

***

Copy entry 1 word for word.
VASP calculation (PBE) on an optimized crystal structure of Lu2ZrO.

Cell and atoms, written as extended XYZ:
```
4
Lattice="3.099 0.000 0.000 0.000 3.099 0.000 0.000 0.000 8.019" Properties=species:S:1:pos:R:3 pbc="T T T"
Lu 0.000 0.000 1.531
Lu 0.000 0.000 6.488
Zr 1.549 1.549 4.009
O 1.549 1.549 0.000
```

Output
* SG: P4/mmm (123)
* magnetization: 0.00 μB per cell
* uncorrected energy: -26.25 eV for the cell shown
* DOS(E_F): 0.66 states/eV/atom